# 1
Compound: Pr3Nd5Th2
Source: the Alexandria database
Functional: GGA-PBE
Structure: relaxed

Unit cell a=11.241 b=14.636 c=10.227 alpha=90.00 beta=123.32 gamma=90.00
Space group C2/c (No. 15)
Symmetry-distinct sites (fractional):
Pr1 0.000 0.012 0.250 (multiplicity 4)
Pr2 0.149 0.375 0.550 (multiplicity 8)
Nd1 0.000 0.224 0.250 (multiplicity 4)
Nd2 0.000 0.263 0.750 (multiplicity 4)
Nd3 0.000 0.474 0.750 (multiplicity 4)
Nd4 0.250 0.126 0.750 (multiplicity 8)
Th1 0.156 0.125 0.060 (multiplicity 8)

Properties
Energy of formation (eV/atom): 0.210

# 2
Compound: Ti2ReHRu
Source: the Alexandria database
Functional: GGA-PBE
Structure: relaxed

Unit cell a=4.338 b=4.338 c=3.341 alpha=90.00 beta=90.00 gamma=90.00
Space group P4/mmm (No. 123)
Symmetry-distinct sites (fractional):
Ti1 0.000 0.500 0.000 (multiplicity 2)
Re1 0.000 0.000 0.500 (multiplicity 1)
H1 0.500 0.500 0.000 (multiplicity 1)
Ru1 0.500 0.500 0.500 (multiplicity 1)

Properties
VASP energy (eV for the cell shown): -42.8

no.,size of the total moment (μB/f.u.)
1,0.00
2,0.00